No. 1
DFT (PBE) results for a relaxed AgHg2Os crystal.

The density of states at the Fermi level comes out at 6.15 states/eV per cell. For the energy of formation, the calculation gives 75.75 kJ/mol of atoms. As for the total energy: -23.1 eV per cell. The value obtained for the calculated density is 15.25 g/cm³. Its excess energy over the best structure of this formula in the dataset is 0.202 eV/atom.

The structure belongs to space group Immm (No. 71); the cell edges are 2.8613, 5.3189 and 10.0091 Å and the angles 90.00°, 90.00° and 90.00°. Symmetry generates all atoms from Ag at (0.0000, 0.0000, 0.0000), Hg at (0.0000, 0.5000, 0.2427) and Os at (0.0000, 0.0000, 0.5000).


No. 2
DFT (PBE) results for a relaxed CsCuO2 crystal.

The density of states at the Fermi level comes out at 12.38 states/eV per cell. As for the total energy: -72.5 eV per cell. The formation energy (no corrections) is -812 meV per atom. The value obtained for the calculated density is 4.65 g/cm³.

The structure belongs to space group Pnma (No. 62); the cell edges are 6.8703, 3.7554 and 12.6381 Å and the angles 90.00°, 90.00° and 90.00°. Symmetry generates all atoms from Cs at (0.1022, 0.2500, 0.1616), Cu at (0.1019, 0.7500, 0.4298), O at (0.0873, 0.2500, 0.4615) and O at (0.2296, 0.2500, 0.8238).


No. 3
DFT (PBE) results for a relaxed LiGa2Pd5 crystal.

The density of states at the Fermi level comes out at 4.37 states/eV per cell. For the energy of formation, the calculation gives -54.65 kJ/mol of atoms. As for the total energy: -76.9 eV per cell. The value obtained for the calculated density is 9.56 g/cm³.

The structure belongs to space group I4/mmm (No. 139); the cell edges are 5.7377, 5.7377 and 7.1597 Å and the angles 90.00°, 90.00° and 90.00°. Symmetry generates all atoms from Li at (0.0000, 0.0000, 0.0000), Ga at (0.0000, 0.5000, 0.0000), Pd at (0.0000, 0.0000, 0.5000) and Pd at (0.2500, 0.2500, 0.2500).